# Li5Cd2Ag, optimized geometry, DFT PBE
data_Li5Cd2Ag
_cell_length_a 4.3752
_cell_length_b 4.3752
_cell_length_c 14.8686
_cell_angle_alpha 90.00
_cell_angle_beta 90.00
_cell_angle_gamma 90.00
_symmetry_space_group_name_H-M 'I 4/m m m'
_symmetry_Int_Tables_number 139
_symmetry_space_group_name_Hall '-I 4 2'
loop_
_atom_site_label
_atom_site_fract_x
_atom_site_fract_y
_atom_site_fract_z
Li1 0.0000 0.0000 0.0000
Li2 0.0000 0.5000 0.1201
Cd1 0.0000 0.0000 0.2494
Ag1 0.0000 0.0000 0.5000
# **E_tot**: -1.976 eV per atom
# **DOS(E_F)**: 5.08 states/eV per cell
# **Formation energy from the elements**: -0.195 eV per atom



# InHgTe4, optimized geometry, DFT PBE
data_InHgTe4
_cell_length_a 9.2025
_cell_length_b 9.2025
_cell_length_c 9.2025
_cell_angle_alpha 90.00
_cell_angle_beta 90.00
_cell_angle_gamma 90.00
_symmetry_space_group_name_H-M 'F -4 3 m'
_symmetry_Int_Tables_number 216
_symmetry_space_group_name_Hall 'F -4 2 3'
loop_
_atom_site_label
_atom_site_fract_x
_atom_site_fract_y
_atom_site_fract_z
In1 0.0000 0.0000 0.0000
Hg1 0.2500 0.2500 0.2500
Te1 0.1247 0.1247 0.6247
# **Formation energy (no corrections)**: 0.147 eV/atom
# **E_tot**: -2.454 eV per atom
# **DOS(E_F)**: 24.26 states/eV per cell



# BaGaCuAu6, optimized geometry, DFT PBE
data_BaGaCuAu6
_cell_length_a 7.3051
_cell_length_b 8.7272
_cell_length_c 14.1917
_cell_angle_alpha 90.00
_cell_angle_beta 90.00
_cell_angle_gamma 90.00
_symmetry_space_group_name_H-M 'I m m a'
_symmetry_Int_Tables_number 74
_symmetry_space_group_name_Hall '-I 2b 2'
loop_
_atom_site_label
_atom_site_fract_x
_atom_site_fract_y
_atom_site_fract_z
Ba1 0.0000 0.2500 0.1057
Ga1 0.0000 0.0000 0.5000
Cu1 0.2500 0.2500 0.7500
Au1 0.0000 0.2500 0.3902
Au2 0.0000 0.2500 0.8730
Au3 0.2033 0.0185 0.6492
# **E_tot**: -3.325 eV per atom
# **DOS(E_F)**: 8.28 states/eV per cell
# **Formation energy from the elements**: -0.135 eV per atom



# LaH3Ir, optimized geometry, DFT PBE
data_LaH3Ir
_cell_length_a 12.0109
_cell_length_b 3.9171
_cell_length_c 5.0177
_cell_angle_alpha 90.00
_cell_angle_beta 92.26
_cell_angle_gamma 90.00
_symmetry_space_group_name_H-M 'C 1 m 1'
_symmetry_Int_Tables_number 8
_symmetry_space_group_name_Hall 'C -2y'
loop_
_atom_site_label
_atom_site_fract_x
_atom_site_fract_y
_atom_site_fract_z
La1 0.0000 0.0000 0.0000
La2 0.2473 0.5000 0.4979
H1 0.0606 0.5000 0.6844
H2 0.1812 0.0000 0.2526
H3 0.1820 0.0000 0.7709
H4 0.2815 0.5000 0.0131
H5 0.3779 0.0000 0.7735
H6 0.4591 0.5000 0.4651
Ir1 0.2816 0.0000 0.0207
Ir2 0.4568 0.0000 0.4463
# **E_tot**: -5.343 eV per atom
# **DOS(E_F)**: 2.06 states/eV per cell



# HfGe2I8, optimized geometry, DFT PBE
data_HfGe2I8
_cell_length_a 16.6363
_cell_length_b 8.5961
_cell_length_c 8.1728
_cell_angle_alpha 90.00
_cell_angle_beta 103.92
_cell_angle_gamma 90.00
_symmetry_space_group_name_H-M 'C 1 2/m 1'
_symmetry_Int_Tables_number 12
_symmetry_space_group_name_Hall '-C 2y'
loop_
_atom_site_label
_atom_site_fract_x
_atom_site_fract_y
_atom_site_fract_z
Hf1 0.0000 0.0000 0.0000
Ge1 0.2283 0.0000 0.2236
I1 0.0862 0.0000 0.3538
I2 0.1133 0.2321 0.9517
I3 0.1627 0.5000 0.4836
# **Formation energy (no corrections)**: -0.463 eV/atom
# **E_tot**: -3.335 eV per atom
# **DOS(E_F)**: 0.00 states/eV per cell



# BaReRh, optimized geometry, DFT PBE
data_BaReRh
_cell_length_a 4.2968
_cell_length_b 4.2970
_cell_length_c 11.1905
_cell_angle_alpha 78.99
_cell_angle_beta 89.91
_cell_angle_gamma 60.00
_symmetry_space_group_name_H-M 'P 1'
_symmetry_Int_Tables_number 1
_symmetry_space_group_name_Hall 'P 1'
loop_
_atom_site_label
_atom_site_fract_x
_atom_site_fract_y
_atom_site_fract_z
Ba1 0.0000 0.0000 0.0000
Ba2 0.1972 0.6004 0.6065
Re1 0.0984 0.8004 0.3031
Re2 0.7651 0.4671 0.3031
Rh1 0.3914 0.2157 0.1789
Rh2 0.4722 0.0517 0.4274
# **Relative energy among the computed polymorphs**: 12 meV per atom
# **E_tot**: -7.106 eV per atom
# **DOS(E_F)**: 3.45 states/eV per cell
# **Formation energy from the elements**: 0.135 eV per atom